## ZrTeMo2 (PBE)

Data for a geometry-optimized ZrTeMo2 structure.

Structure (extended XYZ):
```
4
Lattice="3.106 0.002 0.000 -1.164 2.880 0.000 0.000 0.000 8.682" Properties=species:S:1:pos:R:3 pbc="T T T"
Mo 0.000 0.000 0.026
Mo 0.000 0.000 4.315
Te 0.971 1.441 2.170
Zr 0.971 1.441 6.511
```

Values from the calculation:
Its space group is Cmmm, No. 65. For the uncorrected formation energy, the calculation gives 0.44 eV/atom.

***

## In2SnHgPd (PBE)

Data for a geometry-optimized In2SnHgPd structure.

Structure (extended XYZ):
```
5
Lattice="5.209 0.000 0.000 0.000 5.209 0.000 0.000 0.000 5.244" Properties=species:S:1:pos:R:3 pbc="T T T"
In 0.000 2.605 0.000
In 2.605 0.000 0.000
Hg 2.605 2.605 2.622
Pd 0.000 0.000 0.000
Sn 0.000 0.000 2.622
```

Values from the calculation:
The energy of formation comes out at -0.061 eV per atom. Its space group is P4/mmm, No. 123.

***

## PrPt5 (PBE)

Data for a geometry-optimized PrPt5 structure.

Structure (extended XYZ):
```
6
Lattice="-4.070 -1.805 -2.094 3.614 -3.641 0.209 -3.347 0.528 4.002" Properties=species:S:1:pos:R:3 pbc="T T T"
Pr 0.000 0.000 0.000
Pt -1.177 -3.519 1.587
Pt 1.306 -2.241 1.442
Pt -0.228 -2.723 -0.943
Pt -1.039 -0.872 2.770
Pt -2.627 -1.399 0.530
```

Values from the calculation:
The energy of formation comes out at -0.452 eV per atom. Its space group is C2/m, No. 12. The offset from the most stable computed form comes out at 0.2679 eV/atom.

***

## PmPrIr (PBE)

Data for a geometry-optimized PmPrIr structure.

Structure (extended XYZ):
```
3
Lattice="-1.882 2.989 -0.596 -2.294 -0.928 2.590 5.851 2.237 3.505" Properties=species:S:1:pos:R:3 pbc="T T T"
Pr 0.313 0.272 0.374
Ir -0.817 2.134 2.518
Pm 2.179 1.893 2.608
```

Values from the calculation:
The energy of formation comes out at -0.404 eV per atom. Its space group is I4mm, No. 107. The offset from the most stable computed form comes out at 0.1287 eV/atom.

***

## Ac3Sn3Pd2 (PBE)

Data for a geometry-optimized Ac3Sn3Pd2 structure.

Structure (extended XYZ):
```
16
Lattice="4.837 0.000 0.000 -2.418 5.803 0.000 0.000 0.000 16.482" Properties=species:S:1:pos:R:3 pbc="T T T"
Ac 2.418 4.680 6.480
Ac 0.000 1.123 14.721
Ac 2.418 4.680 1.761
Ac 0.000 1.123 10.002
Ac 2.418 1.463 4.121
Ac 0.000 4.339 12.362
Sn 2.418 1.384 7.608
Sn 0.000 4.418 15.849
Sn 2.418 1.384 0.633
Sn 0.000 4.418 8.874
Sn 0.000 3.826 4.121
Sn 2.418 1.977 12.362
Pd 2.418 3.565 14.759
Pd 0.000 2.238 6.518
Pd 2.418 3.565 9.964
Pd 0.000 2.238 1.723
```

Values from the calculation:
The energy of formation comes out at -0.820 eV per atom. Its space group is Cmcm, No. 63.

***

## MnMoPb (PBE)

Data for a geometry-optimized MnMoPb structure.

Structure (extended XYZ):
```
3
Lattice="-1.348 -4.067 1.178 3.028 2.134 2.453 -2.309 1.270 1.744" Properties=species:S:1:pos:R:3 pbc="T T T"
Mn -0.073 0.040 0.055
Mo 0.968 0.398 2.482
Pb -1.524 -1.100 2.838
```

Values from the calculation:
The energy of formation comes out at 0.671 eV per atom. Its space group is P3m1, No. 156. The offset from the most stable computed form comes out at 0.1263 eV/atom.

***

What did the fifth record say?
## Ac3Sn3Pd2 (PBE)

Data for a geometry-optimized Ac3Sn3Pd2 structure.

Structure (extended XYZ):
```
16
Lattice="4.837 0.000 0.000 -2.418 5.803 0.000 0.000 0.000 16.482" Properties=species:S:1:pos:R:3 pbc="T T T"
Ac 2.418 4.680 6.480
Ac 0.000 1.123 14.721
Ac 2.418 4.680 1.761
Ac 0.000 1.123 10.002
Ac 2.418 1.463 4.121
Ac 0.000 4.339 12.362
Sn 2.418 1.384 7.608
Sn 0.000 4.418 15.849
Sn 2.418 1.384 0.633
Sn 0.000 4.418 8.874
Sn 0.000 3.826 4.121
Sn 2.418 1.977 12.362
Pd 2.418 3.565 14.759
Pd 0.000 2.238 6.518
Pd 2.418 3.565 9.964
Pd 0.000 2.238 1.723
```

Values from the calculation:
The energy of formation comes out at -0.820 eV per atom. Its space group is Cmcm, No. 63.